[1]
Compound: Y2PW
Source: the Alexandria database
Functional: meta-GGA SCAN
Structure: PBEsol geometry

```
Y2PW
1.0
-2.060 -4.390 -0.029
1.565 -0.705 -4.535
3.149 1.178 3.496
P W Y
1 1 2
Cartesian
0.782 -0.352 -2.267
-1.030 -2.195 -0.014
1.451 -0.685 0.607
1.203 -3.232 -1.675
```

Properties
Energy of formation = 80 meV per atom

---

[2]
Compound: LiIn3B
Source: the Alexandria database
Functional: meta-GGA SCAN
Structure: PBEsol geometry

```
LiIn3B
1.0
4.829 0.000 0.000
0.000 4.829 0.000
0.000 0.000 4.829
B Li In
1 1 3
Cartesian
0.000 0.000 0.000
2.414 2.414 2.414
0.000 2.414 0.000
0.000 0.000 2.414
2.414 0.000 0.000
```

Properties
Energy of formation = 499 meV per atom

---

[3]
Compound: Te2AsRu
Source: the Alexandria database
Functional: meta-GGA SCAN
Structure: PBEsol geometry

```
Te2AsRu
1.0
4.808 0.001 0.002
-1.682 4.504 -0.002
-1.682 -2.170 3.947
Ru As Te
1 1 2
Cartesian
-1.682 1.167 1.972
0.000 0.000 0.000
1.563 2.253 0.000
1.563 -1.084 1.975
```

Properties
Energy relative to the elements, uncorrected = 1.27 eV/f.u.